No. 1
# KNaB3 PBE-GGA relaxed
# - D(E_F) (states/eV/f.u.) = 5.11
# - E above lowest polymorph (eV/atom) = 0.463
data_KNaB3
_symmetry_space_group_name_H-M 'P m -3 m'
_symmetry_Int_Tables_number 221
_symmetry_space_group_name_Hall '-P 4 2 3'
_cell_length_a 5.171
_cell_length_b 5.171
_cell_length_c 5.171
_cell_angle_alpha 90.00
_cell_angle_beta 90.00
_cell_angle_gamma 90.00
loop_
_atom_site_label
_atom_site_fract_x
_atom_site_fract_y
_atom_site_fract_z
K1 0.000 0.000 0.000
Na1 0.500 0.500 0.500
B1 0.000 0.000 0.500

***

No. 2
# KNa2B2 PBE-GGA relaxed
# - D(E_F) (states/eV/f.u.) = 2.85
data_KNa2B2
_symmetry_space_group_name_H-M 'P 4/m b m'
_symmetry_Int_Tables_number 127
_symmetry_space_group_name_Hall '-P 4 2ab'
_cell_length_a 8.672
_cell_length_b 8.672
_cell_length_c 2.588
_cell_angle_alpha 90.00
_cell_angle_beta 90.00
_cell_angle_gamma 90.00
loop_
_atom_site_label
_atom_site_fract_x
_atom_site_fract_y
_atom_site_fract_z
K1 0.000 0.000 0.000
Na1 0.123 0.377 0.000
B1 0.172 0.672 0.500

***

No. 3
# KNaB3 PBE-GGA relaxed
# - D(E_F) (states/eV/f.u.) = 3.19
# - E above lowest polymorph (eV/atom) = 0.000
data_KNaB3
_symmetry_space_group_name_H-M 'P m -3 m'
_symmetry_Int_Tables_number 221
_symmetry_space_group_name_Hall '-P 4 2 3'
_cell_length_a 4.794
_cell_length_b 4.794
_cell_length_c 4.794
_cell_angle_alpha 90.00
_cell_angle_beta 90.00
_cell_angle_gamma 90.00
loop_
_atom_site_label
_atom_site_fract_x
_atom_site_fract_y
_atom_site_fract_z
K1 0.000 0.000 0.000
Na1 0.500 0.500 0.500
B1 0.000 0.500 0.500

***

No. 4
# KNa3B PBE-GGA relaxed
# - D(E_F) (states/eV/f.u.) = 1.97
# - E above lowest polymorph (eV/atom) = 0.000
data_KNa3B
_symmetry_space_group_name_H-M 'P m -3 m'
_symmetry_Int_Tables_number 221
_symmetry_space_group_name_Hall '-P 4 2 3'
_cell_length_a 5.428
_cell_length_b 5.428
_cell_length_c 5.428
_cell_angle_alpha 90.00
_cell_angle_beta 90.00
_cell_angle_gamma 90.00
loop_
_atom_site_label
_atom_site_fract_x
_atom_site_fract_y
_atom_site_fract_z
K1 0.000 0.000 0.000
Na1 0.000 0.500 0.500
B1 0.500 0.500 0.500

***

No. 5
# KNa3B PBE-GGA relaxed
# - D(E_F) (states/eV/f.u.) = 5.13
# - E above lowest polymorph (eV/atom) = 0.847
data_KNa3B
_symmetry_space_group_name_H-M 'P m -3 m'
_symmetry_Int_Tables_number 221
_symmetry_space_group_name_Hall '-P 4 2 3'
_cell_length_a 6.212
_cell_length_b 6.212
_cell_length_c 6.212
_cell_angle_alpha 90.00
_cell_angle_beta 90.00
_cell_angle_gamma 90.00
loop_
_atom_site_label
_atom_site_fract_x
_atom_site_fract_y
_atom_site_fract_z
K1 0.000 0.000 0.000
Na1 0.000 0.000 0.500
B1 0.500 0.500 0.500

***

No. 6
# K2NaNbB PBE-GGA relaxed
# - D(E_F) (states/eV/f.u.) = 5.39
data_K2NaNbB
_symmetry_space_group_name_H-M 'P 4/m m m'
_symmetry_Int_Tables_number 123
_symmetry_space_group_name_Hall '-P 4 2'
_cell_length_a 6.703
_cell_length_b 6.703
_cell_length_c 6.061
_cell_angle_alpha 90.00
_cell_angle_beta 90.00
_cell_angle_gamma 90.00
loop_
_atom_site_label
_atom_site_fract_x
_atom_site_fract_y
_atom_site_fract_z
K1 0.000 0.500 0.000
Na1 0.000 0.000 0.500
Nb1 0.000 0.000 0.000
B1 0.500 0.500 0.500

***

no.,energy relative to the elements (eV per atom)
1,2.916
2,1.326
3,2.453
4,0.608
5,1.456
6,2.095